Record 1
ZnGa2Mo: optimized geometry, GGA-PBE.

Computed properties:
**Calculated total energy**: -4.130 eV/atom
**Space-group type**: F-43m
**Crystal system**: cubic

abc: 4.4492 4.4492 4.4492
angles: 60.00 60.00 60.00
Closest atoms and distances in Å follow each position.
Element x y z (fractional)
Mo (0.5000, 0.5000, 0.5000)  4 Ga 2.72, 4 Zn 2.72
Ga (0.0000, 0.0000, 0.0000)  4 Zn 2.72, 4 Ga 2.72
Ga (0.7500, 0.7500, 0.7500)  4 Mo 2.72, 4 Ga 2.72
Zn (0.2500, 0.2500, 0.2500)  4 Ga 2.72, 4 Mo 2.72

=====

Record 2
ZnGa2Mo: optimized geometry, GGA-PBE.

Computed properties:
**Calculated total energy**: -4.130 eV/atom
**Space-group type**: F-43m
**Crystal system**: cubic

abc: 4.4489 4.4489 4.4489
angles: 60.00 60.00 60.00
Closest atoms and distances in Å follow each position.
Element x y z (fractional)
Ga (0.2500, 0.2500, 0.2500)  4 Zn 2.72, 4 Ga 2.72
Ga (0.0000, 0.0000, 0.0000)  4 Ga 2.72, 4 Mo 2.72
Zn (0.5000, 0.5000, 0.5000)  4 Ga 2.72, 4 Mo 2.72
Mo (0.7500, 0.7500, 0.7500)  4 Zn 2.72, 4 Ga 2.72

=====

Record 3
Zr2GaMo: optimized geometry, GGA-PBE.

Computed properties:
**Calculated total energy**: -7.778 eV/atom
**Space-group type**: F-43m
**Crystal system**: cubic

abc: 4.7135 4.7135 4.7135
angles: 60.00 60.00 60.00
Closest atoms and distances in Å follow each position.
Element x y z (fractional)
Ga (0.5000, 0.5000, 0.5000)  4 Zr 2.89, 4 Mo 2.89
Zr (0.7500, 0.7500, 0.7500)  4 Zr 2.89, 4 Ga 2.89
Zr (0.0000, 0.0000, 0.0000)  4 Zr 2.89, 4 Mo 2.89
Mo (0.2500, 0.2500, 0.2500)  4 Zr 2.89, 4 Ga 2.89

=====

Record 4
Zr5GaMo2: optimized geometry, GGA-PBE.

Computed properties:
**Calculated total energy**: -7.391 eV/atom
**Space-group type**: P4/mmm
**Crystal system**: tetragonal

abc: 6.3643 6.3643 4.6593
angles: 90.00 90.00 90.00
Closest atoms and distances in Å follow each position.
Element x y z (fractional)
Zr (0.7231, 0.7231, 0.0000)  1 Ga 2.49
Zr (0.2769, 0.2769, 0.0000)  1 Ga 2.49
Zr (0.7231, 0.2769, 0.0000)  1 Ga 2.49
Zr (0.0000, 0.0000, 0.5000)  2 Ga 2.33
Zr (0.2769, 0.7231, 0.0000)  1 Ga 2.49
Mo (0.0000, 0.5000, 0.5000)  10 Zr 3.18-3.25
Mo (0.5000, 0.0000, 0.5000)  10 Zr 3.18-3.25
Ga (0.0000, 0.0000, 0.0000)  6 Zr 2.33-2.49

=====

Record 5
Nb3GaN2: optimized geometry, GGA-PBE.

Computed properties:
**Calculated total energy**: -9.045 eV/atom
**Space-group type**: P6_3/mmc
**Crystal system**: hexagonal

abc: 3.1243 3.1243 18.7976
angles: 90.00 90.00 120.00
Closest atoms and distances in Å follow each position.
Element x y z (fractional)
Nb (0.6667, 0.3333, 0.3665)  3 N 2.18
Nb (0.0000, 0.0000, 0.5000)  6 N 2.21
Nb (0.3333, 0.6667, 0.8665)  3 N 2.18
Nb (0.3333, 0.6667, 0.6335)  3 N 2.18
Nb (0.6667, 0.3333, 0.1335)  3 N 2.18
Nb (0.0000, 0.0000, 0.0000)  6 N 2.21
Ga (0.0000, 0.0000, 0.2500)  6 Nb 2.84, 6 Ga 3.12
Ga (0.0000, 0.0000, 0.7500)  6 Nb 2.84, 6 Ga 3.12
N (0.6667, 0.3333, 0.5682)  6 Nb 2.18-2.21
N (0.3333, 0.6667, 0.4318)  6 Nb 2.18-2.21
N (0.6667, 0.3333, 0.9318)  6 Nb 2.18-2.21
N (0.3333, 0.6667, 0.0682)  6 Nb 2.18-2.21

=====

Record 6
NbGaNO: optimized geometry, GGA-PBE.

Computed properties:
**Calculated total energy**: -7.405 eV/atom
**Space-group type**: P4/nmm
**Crystal system**: tetragonal

abc: 3.9008 3.9008 6.5888
angles: 90.00 90.00 90.00
Closest atoms and distances in Å follow each position.
Element x y z (fractional)
N (0.0000, 0.5000, 0.6199)  4 Nb 2.10
N (0.5000, 0.0000, 0.3801)  4 Nb 2.10
Nb (0.0000, 0.0000, 0.5000)  4 N 2.10
Nb (0.5000, 0.5000, 0.5000)  4 N 2.10
Ga (0.0000, 0.5000, 0.1151)  4 O 2.09
Ga (0.5000, 0.0000, 0.8849)  4 O 2.09
O (0.5000, 0.5000, 0.0000)  4 Ga 2.09
O (0.0000, 0.0000, 0.0000)  4 Ga 2.09

=====

Record 7
NbGaNO: optimized geometry, GGA-PBE.

Computed properties:
**Calculated total energy**: -7.466 eV/atom
**Space-group type**: Pca2_1
**Crystal system**: orthorhombic

abc: 5.4926 6.8600 5.1964
angles: 90.00 90.00 90.00
Closest atoms and distances in Å follow each position.
Element x y z (fractional)
Nb (0.9260, 0.0740, 0.5117)  3 O 2.13-2.17, 1 N 2.23
Nb (0.5740, 0.0740, 0.0117)  3 O 2.13-2.17, 1 N 2.23
Nb (0.0740, 0.9260, 0.0117)  3 O 2.13-2.17, 1 N 2.23
Nb (0.4260, 0.9260, 0.5117)  3 O 2.13-2.17, 1 N 2.23
N (0.9340, 0.6286, 0.0984)  3 Ga 1.93-1.94
N (0.0660, 0.3714, 0.5984)  3 Ga 1.93-1.94
N (0.4340, 0.3714, 0.0984)  3 Ga 1.93-1.94
N (0.5660, 0.6286, 0.5984)  3 Ga 1.93-1.94
Ga (0.8918, 0.5964, 0.4650)  3 N 1.93-1.94, 1 O 1.94
Ga (0.6082, 0.5964, 0.9650)  3 N 1.93-1.94, 1 O 1.94
Ga (0.3918, 0.4036, 0.4650)  3 N 1.93-1.94, 1 O 1.94
Ga (0.1082, 0.4036, 0.9650)  3 N 1.93-1.94, 1 O 1.94
O (0.9215, 0.1978, 0.1274)  1 Ga 1.94, 2 Nb 2.13-2.17
O (0.4215, 0.8022, 0.1274)  1 Ga 1.94, 2 Nb 2.13-2.17
O (0.5785, 0.1978, 0.6274)  1 Ga 1.94, 2 Nb 2.13-2.17
O (0.0785, 0.8022, 0.6274)  1 Ga 1.94, 2 Nb 2.13-2.17

=====

Record 8
NbGaNO: optimized geometry, GGA-PBE.

Computed properties:
**Calculated total energy**: -7.395 eV/atom
**Space-group type**: Pmc2_1
**Crystal system**: orthorhombic

abc: 3.1031 5.3165 6.0300
angles: 90.00 90.00 90.00
Closest atoms and distances in Å follow each position.
Element x y z (fractional)
Nb (0.0000, 0.4807, 0.3898)  2 N 2.06-2.09, 2 O 2.27
Nb (0.0000, 0.9807, 0.6102)  2 N 2.06-2.09, 2 O 2.27
N (0.0000, 0.3568, 0.7130)  2 Ga 1.91, 2 Nb 2.06-2.09
N (0.0000, 0.8568, 0.2870)  2 Ga 1.91, 2 Nb 2.06-2.09
Ga (0.5000, 0.0258, 0.1773)  2 N 1.91, 2 O 1.96-1.97
Ga (0.5000, 0.5258, 0.8227)  2 N 1.91, 2 O 1.96-1.97
O (0.5000, 0.8907, 0.8732)  2 Ga 1.96-1.97
O (0.5000, 0.3907, 0.1268)  2 Ga 1.96-1.97

=====

Record 9
NbGaNO: optimized geometry, GGA-PBE.

Computed properties:
**Calculated total energy**: -7.374 eV/atom
**Space-group type**: Pmc2_1
**Crystal system**: orthorhombic

abc: 3.0843 5.2497 6.0915
angles: 90.00 90.00 90.00
Closest atoms and distances in Å follow each position.
Element x y z (fractional)
O (0.5000, 0.8669, 0.7447)  2 Ga 1.94, 1 Nb 2.13
O (0.5000, 0.3669, 0.2553)  2 Ga 1.94, 1 Nb 2.13
N (0.0000, 0.8930, 0.3269)  2 Ga 1.91
N (0.0000, 0.3930, 0.6731)  2 Ga 1.91
Nb (0.5000, 0.9599, 0.0854)  2 O 2.13-2.37, 2 N 2.16
Nb (0.5000, 0.4599, 0.9146)  2 O 2.13-2.37, 2 N 2.16
Ga (0.0000, 0.5343, 0.3833)  2 N 1.91, 2 O 1.94
Ga (0.0000, 0.0343, 0.6167)  2 N 1.91, 2 O 1.94

=====

Record 10
NbGaNO: optimized geometry, GGA-PBE.

Computed properties:
**Calculated total energy**: -7.034 eV/atom
**Space-group type**: P4/nmm
**Crystal system**: tetragonal

abc: 3.2660 3.2660 8.6866
angles: 90.00 90.00 90.00
Closest atoms and distances in Å follow each position.
Element x y z (fractional)
N (0.0000, 0.5000, 0.7554)  4 Nb 2.43, 4 O 2.68
N (0.5000, 0.0000, 0.2446)  4 Nb 2.43, 4 O 2.68
O (0.0000, 0.0000, 0.0000)  4 Nb 2.14, 4 O 2.31
O (0.5000, 0.5000, 0.0000)  4 Nb 2.14, 4 O 2.31
Nb (0.5000, 0.0000, 0.8411)  4 O 2.14
Nb (0.0000, 0.5000, 0.1589)  4 O 2.14
Ga (0.5000, 0.5000, 0.5000)  4 Ga 2.31
Ga (0.0000, 0.0000, 0.5000)  4 Ga 2.31

=====

Record 11
Nb4GaPbN2: optimized geometry, GGA-PBE.

Computed properties:
**Calculated total energy**: -8.476 eV/atom
**Space-group type**: P-6m2
**Crystal system**: hexagonal

abc: 3.2532 3.2532 13.5194
angles: 90.00 90.00 120.00
Closest atoms and distances in Å follow each position.
Element x y z (fractional)
Nb (0.6667, 0.3333, 0.1555)  3 N 2.20
Nb (0.6667, 0.3333, 0.8445)  3 N 2.20
Nb (0.0000, 0.0000, 0.6797)  3 N 2.17
Nb (0.0000, 0.0000, 0.3203)  3 N 2.17
N (0.3333, 0.6667, 0.7602)  6 Nb 2.17-2.20
N (0.3333, 0.6667, 0.2398)  6 Nb 2.17-2.20
Pb (0.6667, 0.3333, 0.5000)  6 Nb 3.07, 6 Pb 3.25
Ga (0.0000, 0.0000, 0.0000)  6 Nb 2.82

=====

Record 12
Sc2Nb4Ga3N3: optimized geometry, GGA-PBE.

Computed properties:
**Calculated total energy**: -8.164 eV/atom
**Space-group type**: C2/c
**Crystal system**: monoclinic

abc: 5.4572 5.4572 13.9678
angles: 101.28 101.28 60.36
Closest atoms and distances in Å follow each position.
Element x y z (fractional)
Ga (0.4203, 0.1891, 0.2499)  4 Nb 2.81-2.83, 4 Ga 2.91-2.93, 2 Sc 2.97-2.98
Ga (0.1891, 0.4203, 0.7499)  4 Nb 2.81-2.83, 4 Ga 2.91-2.93, 2 Sc 2.97-2.98
Ga (0.5797, 0.8109, 0.7501)  4 Nb 2.81-2.83, 4 Ga 2.91-2.93, 2 Sc 2.97-2.98
Ga (0.0306, 0.9694, 0.2500)  4 Nb 2.81, 4 Ga 2.91-2.93, 2 Sc 2.97
Ga (0.9694, 0.0306, 0.7500)  4 Nb 2.81, 4 Ga 2.91-2.93, 2 Sc 2.97
Ga (0.8109, 0.5797, 0.2501)  4 Nb 2.81-2.83, 4 Ga 2.91-2.93, 2 Sc 2.97-2.98
Sc (0.5323, 0.3694, 0.5978)  3 N 2.20-2.27
Sc (0.6306, 0.4677, 0.9022)  3 N 2.20-2.27
Sc (0.4677, 0.6306, 0.4022)  3 N 2.20-2.27
Sc (0.3694, 0.5323, 0.0978)  3 N 2.20-2.27
Nb (0.8618, 0.6964, 0.5846)  3 N 2.16-2.20
Nb (0.1923, 0.0302, 0.5845)  3 N 2.16-2.21
Nb (0.6964, 0.8618, 0.0846)  3 N 2.16-2.20
Nb (0.0302, 0.1923, 0.0845)  3 N 2.16-2.21
Nb (0.8077, 0.9698, 0.4155)  3 N 2.16-2.21
Nb (0.3036, 0.1382, 0.9154)  3 N 2.16-2.20
Nb (0.1382, 0.3036, 0.4154)  3 N 2.16-2.20
Nb (0.9698, 0.8077, 0.9155)  3 N 2.16-2.21
N (0.6581, 0.1824, 0.0000)  4 Nb 2.16-2.21, 2 Sc 2.20
N (0.5000, 0.0000, 0.5000)  4 Nb 2.16, 2 Sc 2.27
N (0.8176, 0.3419, 0.5000)  4 Nb 2.16-2.21, 2 Sc 2.20
N (0.0000, 0.5000, 0.0000)  4 Nb 2.16, 2 Sc 2.27
N (0.1824, 0.6581, 0.5000)  4 Nb 2.16-2.21, 2 Sc 2.20
N (0.3419, 0.8176, 0.0000)  4 Nb 2.16-2.21, 2 Sc 2.20